Record 1
Crystalline Ir2PbAu at its relaxed geometry. Source: the Alexandria database, functional PBE.

Computed properties:
final energy: -5.731 eV per atom
theoretical density: 16.529 Mg/m³
crystal system: monoclinic
magnetic moment: 0.00 μB per formula unit
ΔH_f (0 K): 1.8 eV per formula unit

abc: 4.4164 4.4164 6.5997
angles: 82.47 82.47 38.42
Atoms (fractional coordinates):
Au1 0.7398 0.7398 0.7902
Ir1 0.9968 0.9968 0.0392
Ir2 0.2576 0.2576 0.1876
Pb1 0.5059 0.5059 0.4830



Record 2
Crystalline SmDy3Tl3 at its relaxed geometry. Source: the Alexandria database, functional PBE.

Computed properties:
final energy: -3.915 eV per atom
theoretical density: 10.068 Mg/m³
crystal system: cubic
magnetic moment: 0.00 μB per formula unit
polymorph energy (0 for the lowest one): 0 meV/atom
ΔH_f (0 K): -1.8 eV per formula unit

abc: 9.3803 9.3803 9.3803
angles: 90.00 90.00 90.00
Atoms (fractional coordinates):
Sm1 0.0722 0.5722 0.9278
Sm2 0.9278 0.0722 0.5722
Sm3 0.4278 0.4278 0.4278
Sm4 0.5722 0.9278 0.0722
Dy1 0.8222 0.3222 0.1778
Dy2 0.9227 0.9227 0.9227
Dy3 0.8218 0.6782 0.3218
Dy4 0.1778 0.8222 0.3222
Dy5 0.1782 0.1782 0.1782
Dy6 0.3218 0.8218 0.6782
Dy7 0.0773 0.4227 0.5773
Dy8 0.3222 0.1778 0.8222
Dy9 0.6782 0.3218 0.8218
Dy10 0.6778 0.6778 0.6778
Dy11 0.5773 0.0773 0.4227
Dy12 0.4227 0.5773 0.0773
Tl1 0.7455 0.6197 0.0004
Tl2 0.8803 0.9996 0.2455
Tl3 0.0004 0.7455 0.6197
Tl4 0.1197 0.4996 0.2545
Tl5 0.2545 0.1197 0.4996
Tl6 0.2455 0.8803 0.9996
Tl7 0.9996 0.2455 0.8803
Tl8 0.3803 0.5004 0.7545
Tl9 0.4996 0.2545 0.1197
Tl10 0.6197 0.0004 0.7455
Tl11 0.7545 0.3803 0.5004
Tl12 0.5004 0.7545 0.3803



Record 3
Crystalline CaHoTlIr at its relaxed geometry. Source: the Alexandria database, functional PBE.

Computed properties:
final energy: -4.813 eV per atom
theoretical density: 10.769 Mg/m³
crystal system: cubic
magnetic moment: 0.00 μB per formula unit
ΔH_f (0 K): -1.4 eV per formula unit

abc: 5.0813 5.0813 5.0813
angles: 60.00 60.00 60.00
Atoms (fractional coordinates):
Tl1 0.5000 0.5000 0.5000
Ir1 0.0000 0.0000 0.0000
Ho1 0.7500 0.7500 0.7500
Ca1 0.2500 0.2500 0.2500